No. 1
Computed, not measured: a relaxed Na2CaHg2 crystal at the PBE level of DFT.

a b c (Å): 8.137 8.137 4.496
angles (deg): 90.00 90.00 90.00
Atoms (fractional coordinates):
Na 0.162 0.338 0.000
Na 0.338 0.838 0.000
Na 0.662 0.162 0.000
Na 0.838 0.662 0.000
Ca 0.000 0.000 0.500
Ca 0.500 0.500 0.500
Hg 0.132 0.632 0.500
Hg 0.368 0.132 0.500
Hg 0.632 0.868 0.500
Hg 0.868 0.368 0.500

Summary:
As for the energy of formation from the pure elements: -246.8 meV per atom. For the offset from the most stable computed form, the calculation gives 16 meV/atom.

***

No. 2
Computed, not measured: a relaxed BaAs2Pt crystal at the PBE level of DFT.

a b c (Å): 4.680 4.680 9.684
angles (deg): 90.00 90.00 90.00
Atoms (fractional coordinates):
Ba 0.250 0.250 0.199
Ba 0.750 0.750 0.801
As 0.250 0.250 0.861
As 0.250 0.750 0.500
As 0.750 0.250 0.500
As 0.750 0.750 0.139
Pt 0.250 0.250 0.612
Pt 0.750 0.750 0.388

Summary:
As for the energy of formation from the pure elements: -726.3 meV per atom.

***

No. 3
Computed, not measured: a relaxed CrMo4Pt crystal at the PBE level of DFT.

a b c (Å): 5.166 5.166 5.166
angles (deg): 60.00 60.00 60.00
Atoms (fractional coordinates):
Cr 0.000 0.000 0.000
Mo 0.374 0.374 0.374
Mo 0.374 0.374 0.877
Mo 0.374 0.877 0.374
Mo 0.877 0.374 0.374
Pt 0.750 0.750 0.750

Summary:
As for the energy of formation from the pure elements: 341.9 meV per atom.

***

No. 4
Computed, not measured: a relaxed PmNpNi10 crystal at the PBE level of DFT.

a b c (Å): 3.966 4.895 8.477
angles (deg): 90.00 90.00 90.00
Atoms (fractional coordinates):
Pm 0.000 0.000 0.000
Np 0.000 0.500 0.500
Ni 0.000 0.000 0.339
Ni 0.000 0.000 0.661
Ni 0.000 0.500 0.176
Ni 0.000 0.500 0.824
Ni 0.500 0.000 0.500
Ni 0.500 0.253 0.255
Ni 0.500 0.253 0.745
Ni 0.500 0.500 0.000
Ni 0.500 0.747 0.255
Ni 0.500 0.747 0.745

Summary:
As for the energy of formation from the pure elements: -211.2 meV per atom.

***

No. 5
Computed, not measured: a relaxed PmHo5TmTh2 crystal at the PBE level of DFT.

a b c (Å): 9.837 9.837 9.837
angles (deg): 126.68 126.68 78.77
Atoms (fractional coordinates):
Pm 0.250 0.250 0.000
Pm 0.750 0.750 0.000
Ho 0.000 0.000 0.000
Ho 0.070 0.570 0.917
Ho 0.153 0.070 0.500
Ho 0.347 0.847 0.917
Ho 0.430 0.347 0.500
Ho 0.500 0.500 0.000
Ho 0.570 0.653 0.500
Ho 0.653 0.153 0.083
Ho 0.847 0.930 0.500
Ho 0.930 0.430 0.083
Tm 0.250 0.750 0.500
Tm 0.750 0.250 0.500
Th 0.119 0.381 0.500
Th 0.381 0.881 0.262
Th 0.619 0.119 0.738
Th 0.881 0.619 0.500

Summary:
As for the energy of formation from the pure elements: 343.7 meV per atom.

***

No. 6
Computed, not measured: a relaxed SmDy5Tl3 crystal at the PBE level of DFT.

a b c (Å): 9.401 9.401 6.737
angles (deg): 90.00 90.00 120.00
Atoms (fractional coordinates):
Sm 0.000 0.000 0.000
Sm 0.000 0.000 0.500
Dy 0.000 0.331 0.250
Dy 0.000 0.669 0.750
Dy 0.331 0.000 0.250
Dy 0.331 0.331 0.750
Dy 0.333 0.667 0.000
Dy 0.333 0.667 0.500
Dy 0.667 0.333 0.000
Dy 0.667 0.333 0.500
Dy 0.669 0.000 0.750
Dy 0.669 0.669 0.250
Tl 0.000 0.338 0.750
Tl 0.000 0.662 0.250
Tl 0.338 0.000 0.750
Tl 0.338 0.338 0.250
Tl 0.662 0.000 0.250
Tl 0.662 0.662 0.750

Summary:
As for the energy of formation from the pure elements: -260.2 meV per atom.

***

No. 7
Computed, not measured: a relaxed PrY2Er3 crystal at the PBE level of DFT.

a b c (Å): 8.104 8.104 6.349
angles (deg): 90.00 90.00 108.64
Atoms (fractional coordinates):
Pr 0.175 0.825 0.500
Pr 0.825 0.175 0.000
Y 0.259 0.374 0.723
Y 0.374 0.259 0.223
Y 0.626 0.741 0.723
Y 0.741 0.626 0.223
Er 0.082 0.918 0.973
Er 0.122 0.516 0.172
Er 0.484 0.878 0.172
Er 0.516 0.122 0.672
Er 0.878 0.484 0.672
Er 0.918 0.082 0.473

Summary:
As for the energy of formation from the pure elements: 219.0 meV per atom. For the offset from the most stable computed form, the calculation gives 219 meV/atom.

***

No. 8
Computed, not measured: a relaxed NbRhSe2 crystal at the PBE level of DFT.

a b c (Å): 6.180 3.632 13.912
angles (deg): 90.00 90.00 90.00
Atoms (fractional coordinates):
Nb 0.206 0.250 0.065
Nb 0.294 0.750 0.565
Nb 0.706 0.250 0.435
Nb 0.794 0.750 0.935
Rh 0.101 0.250 0.870
Rh 0.399 0.750 0.370
Rh 0.601 0.250 0.630
Rh 0.899 0.750 0.130
Se 0.152 0.250 0.432
Se 0.237 0.250 0.696
Se 0.263 0.750 0.196
Se 0.348 0.750 0.932
Se 0.652 0.250 0.068
Se 0.737 0.250 0.804
Se 0.763 0.750 0.304
Se 0.848 0.750 0.568

Summary:
For the uncorrected formation energy, the calculation gives -585 meV/atom.

***

No. 9
Computed, not measured: a relaxed La3Tb6Pr2Tm crystal at the PBE level of DFT.

a b c (Å): 6.289 6.289 11.967
angles (deg): 95.02 95.02 120.02
Atoms (fractional coordinates):
La 0.000 0.000 0.000
La 0.333 0.667 0.000
La 0.667 0.333 0.000
Tb 0.086 0.418 0.253
Tb 0.250 0.250 0.747
Tb 0.418 0.086 0.253
Tb 0.582 0.914 0.747
Tb 0.750 0.750 0.253
Tb 0.914 0.582 0.747
Pr 0.166 0.834 0.500
Pr 0.834 0.166 0.500
Tm 0.500 0.500 0.500

Summary:
As for the energy of formation from the pure elements: 15.3 meV per atom.

***

No. 10
Computed, not measured: a relaxed KReBr2 crystal at the PBE level of DFT.

a b c (Å): 3.684 5.409 5.407
angles (deg): 90.00 90.00 90.00
Atoms (fractional coordinates):
K 0.000 0.000 0.000
Re 0.500 0.500 0.499
Br 0.500 0.000 0.500
Br 0.500 0.500 0.999

Summary:
For the uncorrected formation energy, the calculation gives 254 meV/atom. For the offset from the most stable computed form, the calculation gives 47 meV/atom.

***

No. 11
Computed, not measured: a relaxed LiHoSiRh crystal at the PBE level of DFT.

a b c (Å): 4.515 4.515 4.515
angles (deg): 60.00 60.00 60.00
Atoms (fractional coordinates):
Li 0.000 0.000 0.000
Ho 0.250 0.250 0.250
Si 0.750 0.750 0.750
Rh 0.500 0.500 0.500

Summary:
For the uncorrected formation energy, the calculation gives -633 meV/atom.

***

No. 12
Computed, not measured: a relaxed SrLiBiPd crystal at the PBE level of DFT.

a b c (Å): 5.063 5.063 5.063
angles (deg): 60.00 60.00 60.00
Atoms (fractional coordinates):
Sr 0.000 0.000 0.000
Li 0.750 0.750 0.750
Bi 0.500 0.500 0.500
Pd 0.250 0.250 0.250

Summary:
As for the energy of formation from the pure elements: -593.3 meV per atom.

***

No. 13
Computed, not measured: a relaxed SrAs3P crystal at the PBE level of DFT.

a b c (Å): 5.733 6.222 8.771
angles (deg): 103.77 101.29 110.78
Atoms (fractional coordinates):
Sr 0.198 0.198 0.394
Sr 0.802 0.802 0.606
As 0.177 0.677 0.353
As 0.304 0.651 0.749
As 0.442 0.097 0.749
As 0.558 0.903 0.251
As 0.696 0.349 0.251
As 0.823 0.323 0.647
P 0.410 0.311 0.001
P 0.590 0.689 0.999

Summary:
As for the energy of formation from the pure elements: -273.7 meV per atom. For the offset from the most stable computed form, the calculation gives 0 meV/atom.

***

No. 14
Computed, not measured: a relaxed La2Pm6SmTm crystal at the PBE level of DFT.

a b c (Å): 8.904 8.904 10.050
angles (deg): 95.07 95.07 117.92
Atoms (fractional coordinates):
La 0.195 0.293 0.041
La 0.293 0.195 0.541
La 0.707 0.805 0.459
La 0.805 0.707 0.959
Pm 0.017 0.579 0.190
Pm 0.122 0.740 0.556
Pm 0.260 0.878 0.944
Pm 0.297 0.504 0.380
Pm 0.421 0.983 0.310
Pm 0.496 0.703 0.120
Pm 0.504 0.297 0.880
Pm 0.579 0.017 0.690
Pm 0.703 0.496 0.620
Pm 0.740 0.122 0.056
Pm 0.878 0.260 0.444
Pm 0.983 0.421 0.810
Sm 0.013 0.987 0.250
Sm 0.987 0.013 0.750
Tm 0.406 0.594 0.750
Tm 0.594 0.406 0.250

Summary:
As for the energy of formation from the pure elements: 112.3 meV per atom.

***

No. 15
Computed, not measured: a relaxed Hf2Ti2Pt crystal at the PBE level of DFT.

a b c (Å): 6.618 6.618 4.398
angles (deg): 90.00 90.00 90.00
Atoms (fractional coordinates):
Hf 0.159 0.341 0.000
Hf 0.341 0.841 0.000
Hf 0.659 0.159 0.000
Hf 0.841 0.659 0.000
Ti 0.144 0.644 0.500
Ti 0.356 0.144 0.500
Ti 0.644 0.856 0.500
Ti 0.856 0.356 0.500
Pt 0.000 0.000 0.500
Pt 0.500 0.500 0.500

Summary:
As for the energy of formation from the pure elements: -290.8 meV per atom.

***

No. 16
Computed, not measured: a relaxed CrTc2Ni crystal at the PBE level of DFT.

a b c (Å): 8.691 8.691 8.691
angles (deg): 17.64 17.64 17.64
Atoms (fractional coordinates):
Cr 0.000 0.000 0.000
Tc 0.251 0.251 0.251
Tc 0.749 0.749 0.749
Ni 0.500 0.500 0.500

Summary:
As for the energy of formation from the pure elements: 158.9 meV per atom. For the offset from the most stable computed form, the calculation gives 138 meV/atom.

***

No. 17
Computed, not measured: a relaxed NdHoMgNi crystal at the PBE level of DFT.

a b c (Å): 5.126 5.126 5.126
angles (deg): 60.00 60.00 60.00
Atoms (fractional coordinates):
Nd 0.000 0.000 0.000
Ho 0.500 0.500 0.500
Mg 0.250 0.250 0.250
Ni 0.750 0.750 0.750

Summary:
As for the energy of formation from the pure elements: -75.6 meV per atom.

***

No. 18
Computed, not measured: a relaxed GaIrSe2Br crystal at the PBE level of DFT.

a b c (Å): 5.405 5.405 4.606
angles (deg): 90.00 90.00 90.00
Atoms (fractional coordinates):
Ga 0.000 0.000 0.000
Ir 0.500 0.500 0.000
Se 0.000 0.500 0.500
Se 0.500 0.000 0.500
Br 0.500 0.500 0.500

Summary:
For the uncorrected formation energy, the calculation gives 1223 meV/atom. For the offset from the most stable computed form, the calculation gives 987 meV/atom.

***

No. 19
Computed, not measured: a relaxed IrPt4 crystal at the PBE level of DFT.

a b c (Å): 5.774 5.774 4.903
angles (deg): 90.00 90.00 90.00
Atoms (fractional coordinates):
Ir 0.000 0.000 0.250
Ir 0.000 0.000 0.750
Pt 0.196 0.373 0.000
Pt 0.196 0.627 0.500
Pt 0.373 0.196 0.500
Pt 0.373 0.804 0.000
Pt 0.627 0.196 0.000
Pt 0.627 0.804 0.500
Pt 0.804 0.373 0.500
Pt 0.804 0.627 0.000

Summary:
As for the energy of formation from the pure elements: 226.3 meV per atom. For the offset from the most stable computed form, the calculation gives 204 meV/atom.

***

No. 20
Computed, not measured: a relaxed Cs3Np3RhS8 crystal at the PBE level of DFT.

a b c (Å): 7.912 7.912 9.422
angles (deg): 114.87 114.87 59.87
Atoms (fractional coordinates):
Cs 0.000 0.000 0.000
Cs 0.000 0.500 0.000
Cs 0.500 0.000 0.000
Np 0.000 0.500 0.500
Np 0.500 0.000 0.500
Np 0.500 0.500 0.500
Rh 0.000 0.000 0.500
S 0.212 0.212 0.668
S 0.213 0.744 0.669
S 0.256 0.787 0.331
S 0.271 0.271 0.315
S 0.729 0.729 0.685
S 0.744 0.213 0.669
S 0.787 0.256 0.331
S 0.788 0.788 0.332

Summary:
For the uncorrected formation energy, the calculation gives -1142 meV/atom.

***

No. 21
Computed, not measured: a relaxed TbCd2 crystal at the PBE level of DFT.

a b c (Å): 6.626 6.626 6.626
angles (deg): 149.68 149.68 43.41
Atoms (fractional coordinates):
Tb 0.000 0.000 0.000
Cd 0.325 0.325 0.000
Cd 0.675 0.675 0.000

Summary:
As for the energy of formation from the pure elements: -237.9 meV per atom.

***

No. 22
Computed, not measured: a relaxed La2ZnGa2Rh5 crystal at the PBE level of DFT.

a b c (Å): 10.034 10.034 3.550
angles (deg): 90.00 90.00 90.00
Atoms (fractional coordinates):
La 0.175 0.325 0.000
La 0.325 0.825 0.000
La 0.675 0.175 0.000
La 0.825 0.675 0.000
Zn 0.000 0.000 0.000
Zn 0.500 0.500 0.000
Ga 0.124 0.624 0.000
Ga 0.376 0.124 0.000
Ga 0.624 0.876 0.000
Ga 0.876 0.376 0.000
Rh 0.000 0.500 0.500
Rh 0.065 0.795 0.500
Rh 0.205 0.065 0.500
Rh 0.295 0.565 0.500
Rh 0.435 0.295 0.500
Rh 0.500 0.000 0.500
Rh 0.565 0.705 0.500
Rh 0.705 0.435 0.500
Rh 0.795 0.935 0.500
Rh 0.935 0.205 0.500

Summary:
As for the energy of formation from the pure elements: -643.1 meV per atom.

***

Results for spin magnetization: 0.0 0.0 2.3 0.4 0.0 2.1 0.0 0.0 0.0 3.5 0.0 0.0 0.0 0.0 0.0 0.0 0.0 0.4 0.0 3.7 0.2 0.0 (in μB/cell, following the order of the records).
Results for raw total energy: -1.295 -5.042 -9.490 -6.503 -4.873 -4.130 -5.014 -6.683 -4.701 -3.969 -5.450 -3.761 -4.482 -4.643 -8.638 -8.875 -4.256 -2.883 -6.379 -6.592 -2.391 -6.037 (in eV per atom, following the order of the records).